(1)
Below is an optimized crystal structure of Ni2MoPd, with properties calculated at the PBE level.

- ΔE_f (eV per atom) = -0.02
- energy above the most stable polymorph in this dataset (eV/f.u.) = 0.00
- Fermi-level density of states (states/eV per atom) = 0.860
- SG = Cmcm

Unit cell a=4.477 b=4.479 c=5.269 alpha=90.00 beta=90.00 gamma=97.99
Atoms (fractional coordinates):
Mo 0.787 0.712 0.250
Mo 0.213 0.288 0.750
Pd 0.785 0.714 0.750
Pd 0.215 0.286 0.250
Ni 0.292 0.792 0.000
Ni 0.708 0.208 0.000
Ni 0.708 0.208 0.500
Ni 0.292 0.792 0.500



(2)
Below is an optimized crystal structure of Tb3PSe6, with properties calculated at the PBE level.

- formation energy (no corrections) (eV per atom) = -1.36
- SG = Cmc2_1

Unit cell a=7.316 b=8.780 c=8.780 alpha=102.02 beta=90.00 gamma=90.00
Atoms (fractional coordinates):
Se 0.191 0.033 0.967
Se 0.201 0.096 0.571
Se 0.618 0.217 0.783
Se 0.701 0.571 0.096
Se 0.201 0.429 0.904
Se 0.701 0.904 0.429
Se 0.691 0.967 0.033
Se 0.186 0.364 0.312
Se 0.118 0.783 0.217
Se 0.686 0.312 0.364
Se 0.686 0.636 0.688
Se 0.186 0.688 0.636
Tb 0.900 0.601 0.399
Tb 0.472 0.913 0.717
Tb 0.400 0.399 0.601
Tb 0.472 0.283 0.087
Tb 0.972 0.087 0.283
Tb 0.972 0.717 0.913
P 0.058 0.193 0.807
P 0.558 0.807 0.193



(3)
Below is an optimized crystal structure of MnMoPRu, with properties calculated at the PBE level.

- ΔE_f (eV per atom) = -0.22
- Fermi-level density of states (states/eV per atom) = 0.666
- SG = F-43m

Unit cell a=4.204 b=4.204 c=4.204 alpha=60.00 beta=60.00 gamma=60.00
Atoms (fractional coordinates):
Mo 0.500 0.500 0.500
Ru 0.000 0.000 0.000
Mn 0.250 0.250 0.250
P 0.750 0.750 0.750



(4)
Below is an optimized crystal structure of YHgGe3, with properties calculated at the PBE level.

- ΔE_f (eV per atom) = 0.52
- energy above the most stable polymorph in this dataset (eV/f.u.) = 0.00
- Fermi-level density of states (states/eV per atom) = 0.567
- SG = Pm-3m

Unit cell a=5.159 b=5.159 c=5.159 alpha=90.00 beta=90.00 gamma=90.00
Atoms (fractional coordinates):
Hg 0.000 0.000 0.000
Y 0.500 0.500 0.500
Ge 0.000 0.000 0.500
Ge 0.000 0.500 0.000
Ge 0.500 0.000 0.000



(5)
Below is an optimized crystal structure of CaIn2Au, with properties calculated at the PBE level.

- ΔE_f (eV per atom) = -0.32
- Fermi-level density of states (states/eV per atom) = 0.610
- SG = Fm-3m

Unit cell a=5.093 b=5.093 c=5.093 alpha=60.00 beta=60.00 gamma=60.00
Atoms (fractional coordinates):
Au 0.500 0.500 0.500
In 0.750 0.750 0.750
In 0.250 0.250 0.250
Ca 0.000 0.000 0.000



(6)
Below is an optimized crystal structure of Ta3CdGe, with properties calculated at the PBE level.

- ΔE_f (eV per atom) = 2.18
- energy above the most stable polymorph in this dataset (eV/f.u.) = 5.76
- Fermi-level density of states (states/eV per atom) = 1.076
- SG = Pm-3m

Unit cell a=4.959 b=4.959 c=4.959 alpha=90.00 beta=90.00 gamma=90.00
Atoms (fractional coordinates):
Ta 0.500 0.000 0.000
Ta 0.000 0.500 0.000
Ta 0.000 0.000 0.500
Cd 0.000 0.000 0.000
Ge 0.500 0.500 0.500



Number 1: final energy -6.92 eV/atom. Number 2: final energy -5.38 eV/atom. Number 3: final energy -8.89 eV/atom. Number 4: final energy -3.60 eV/atom. Number 5: final energy -3.01 eV/atom. Number 6: final energy -6.04 eV/atom.